Crystalline PrDy2Th3S6 at its relaxed geometry, computed with PBE.

a = 6.860 Å, b = 6.860 Å, c = 7.052 Å
α = 99.29°, β = 99.29°, γ = 119.65°
Positions (direct):
1 Pr 0.000 0.000 0.000
2 Dy 0.333 0.667 0.000
3 Dy 0.667 0.333 0.000
4 Th 0.162 0.838 0.500
5 Th 0.838 0.162 0.500
6 Th 0.500 0.500 0.500
7 S 0.919 0.575 0.758
8 S 0.734 0.734 0.236
9 S 0.081 0.425 0.242
10 S 0.575 0.919 0.758
11 S 0.266 0.266 0.764
12 S 0.425 0.081 0.242

- Uncorrected formation energy: -183.6 kJ/mol of atoms

Crystalline Pm2PaN at its relaxed geometry, computed with PBE.

a = 3.395 Å, b = 3.395 Å, c = 9.852 Å
α = 80.08°, β = 80.08°, γ = 60.00°
Positions (direct):
1 N 0.500 0.500 0.500
2 Pa 0.000 0.000 0.000
3 Pm 0.117 0.117 0.650
4 Pm 0.883 0.883 0.350

- Distance to the lowest polymorph of the same formula: 0.000 eV per atom
- Uncorrected formation energy: -37.9 kJ/mol of atoms

Crystalline PrThTeOs at its relaxed geometry, computed with PBE.

a = 4.232 Å, b = 4.233 Å, c = 7.992 Å
α = 90.00°, β = 105.37°, γ = 120.00°
Positions (direct):
1 Pr 0.497 0.147 0.659
2 Th 0.101 0.949 0.065
3 Te 0.967 0.382 0.363
4 Os 0.313 0.554 0.882

- Uncorrected formation energy: -65.2 kJ/mol of atoms

Crystalline Nd5CSe4 at its relaxed geometry, computed with PBE.

a = 5.883 Å, b = 7.213 Å, c = 7.213 Å
α = 80.43°, β = 65.93°, γ = 65.93°
Positions (direct):
1 Nd 0.910 0.355 0.827
2 Nd 0.265 0.827 0.645
3 Nd 0.737 0.173 0.355
4 Nd 0.092 0.645 0.173
5 Nd 0.501 0.000 0.000
6 C 0.001 0.000 0.000
7 Se 0.408 0.398 0.788
8 Se 0.806 0.788 0.602
9 Se 0.196 0.212 0.398
10 Se 0.594 0.602 0.212

- Distance to the lowest polymorph of the same formula: 0.000 eV per atom
- Uncorrected formation energy: -146.5 kJ/mol of atoms

Crystalline TmScCo at its relaxed geometry, computed with PBE.

a = 5.725 Å, b = 6.473 Å, c = 7.048 Å
α = 108.04°, β = 90.00°, γ = 90.00°
Positions (direct):
1 Tm 0.871 0.359 0.140
2 Tm 0.371 0.641 0.360
3 Tm 0.129 0.641 0.860
4 Tm 0.629 0.359 0.640
5 Sc 0.846 0.916 0.305
6 Sc 0.346 0.084 0.195
7 Sc 0.154 0.084 0.695
8 Sc 0.654 0.916 0.805
9 Co 0.093 0.330 0.477
10 Co 0.593 0.670 0.023
11 Co 0.907 0.670 0.523
12 Co 0.407 0.330 0.977

- Distance to the lowest polymorph of the same formula: 0.000 eV per atom
- Energy of formation from the pure elements: -0.24 eV per atom

Crystalline CsNa2Sb2 at its relaxed geometry, computed with PBE.

a = 9.906 Å, b = 9.906 Å, c = 3.316 Å
α = 90.00°, β = 90.00°, γ = 90.00°
Positions (direct):
1 Cs 0.000 0.000 0.000
2 Cs 0.500 0.500 0.000
3 Sb 0.167 0.667 0.500
4 Sb 0.667 0.833 0.500
5 Sb 0.833 0.333 0.500
6 Sb 0.333 0.167 0.500
7 Na 0.375 0.875 0.000
8 Na 0.875 0.625 0.000
9 Na 0.625 0.125 0.000
10 Na 0.125 0.375 0.000

- Distance to the lowest polymorph of the same formula: 0.053 eV per atom
- Uncorrected formation energy: -31.3 kJ/mol of atoms

Crystalline NbIrRu at its relaxed geometry, computed with PBE.

a = 2.799 Å, b = 4.408 Å, c = 4.408 Å
α = 120.00°, β = 90.00°, γ = 90.00°
Positions (direct):
1 Ru 0.167 0.333 0.667
2 Nb 0.667 0.667 0.333
3 Ir 0.167 0.000 0.000

- Distance to the lowest polymorph of the same formula: 0.183 eV per atom
- Energy of formation from the pure elements: -0.14 eV per atom

Crystalline Li2Ta2PbO7 at its relaxed geometry, computed with PBE.

a = 3.980 Å, b = 4.027 Å, c = 9.688 Å
α = 102.00°, β = 101.85°, γ = 90.00°
Positions (direct):
1 Li 0.254 0.751 0.508
2 Li 0.746 0.243 0.492
3 Ta 0.384 0.399 0.767
4 Ta 0.616 0.632 0.233
5 Pb 0.000 0.061 0.000
6 O 0.390 0.884 0.780
7 O 0.718 0.713 0.436
8 O 0.106 0.591 0.212
9 O 0.610 0.104 0.220
10 O 0.282 0.277 0.564
11 O 0.894 0.379 0.788
12 O 0.500 0.467 0.000

- Uncorrected formation energy: -235.4 kJ/mol of atoms

Crystalline Ca2HgSb at its relaxed geometry, computed with PBE.

a = 4.554 Å, b = 4.554 Å, c = 6.287 Å
α = 90.00°, β = 90.00°, γ = 90.00°
Positions (direct):
1 Sb 0.500 0.500 0.875
2 Ca 0.000 0.000 0.875
3 Ca 0.500 0.500 0.375
4 Hg 0.000 0.000 0.375

- Distance to the lowest polymorph of the same formula: 0.202 eV per atom
- Uncorrected formation energy: -56.3 kJ/mol of atoms

Crystalline HfSnF6 at its relaxed geometry, computed with PBE.

a = 5.291 Å, b = 5.291 Å, c = 5.526 Å
α = 72.10°, β = 72.10°, γ = 77.72°
Positions (direct):
1 Hf 0.000 0.000 0.000
2 Sn 0.500 0.500 0.500
3 F 0.151 0.726 0.282
4 F 0.726 0.151 0.282
5 F 0.274 0.849 0.718
6 F 0.849 0.274 0.718
7 F 0.257 0.257 0.941
8 F 0.743 0.743 0.059

- Uncorrected formation energy: -311.7 kJ/mol of atoms

Crystalline Sc3PdCl at its relaxed geometry, computed with PBE.

a = 4.704 Å, b = 4.704 Å, c = 4.704 Å
α = 90.00°, β = 90.00°, γ = 90.00°
Positions (direct):
1 Sc 0.000 0.500 0.000
2 Sc 0.000 0.000 0.500
3 Sc 0.500 0.000 0.000
4 Pd 0.500 0.500 0.500
5 Cl 0.000 0.000 0.000

- Distance to the lowest polymorph of the same formula: 0.000 eV per atom
- Uncorrected formation energy: -40.6 kJ/mol of atoms

Crystalline ScNiW at its relaxed geometry, computed with PBE.

a = 4.220 Å, b = 4.220 Å, c = 4.220 Å
α = 60.00°, β = 60.00°, γ = 60.00°
Positions (direct):
1 Ni 0.750 0.750 0.750
2 Sc 0.000 0.000 0.000
3 W 0.500 0.500 0.500

- Distance to the lowest polymorph of the same formula: 0.460 eV per atom
- Energy of formation from the pure elements: 0.45 eV per atom

Crystalline HoAl2Cu at its relaxed geometry, computed with PBE.

a = 3.131 Å, b = 3.131 Å, c = 7.285 Å
α = 90.00°, β = 90.00°, γ = 90.00°
Positions (direct):
1 Ho 0.500 0.500 0.500
2 Cu 0.500 0.500 0.000
3 Al 0.000 0.000 0.804
4 Al 0.000 0.000 0.196

- Energy of formation from the pure elements: -0.27 eV per atom

Crystalline RuRhAu2 at its relaxed geometry, computed with PBE.

a = 5.018 Å, b = 5.018 Å, c = 5.016 Å
α = 133.73°, β = 133.73°, γ = 67.54°
Positions (direct):
1 Au 0.000 0.000 0.000
2 Au 0.500 0.500 0.000
3 Rh 0.250 0.750 0.500
4 Ru 0.750 0.250 0.500

- Distance to the lowest polymorph of the same formula: 0.226 eV per atom
- Energy of formation from the pure elements: 0.37 eV per atom

Crystalline Sb3AsS at its relaxed geometry, computed with PBE.

a = 5.358 Å, b = 5.358 Å, c = 5.358 Å
α = 90.00°, β = 90.00°, γ = 90.00°
Positions (direct):
1 Sb 0.000 0.500 0.000
2 Sb 0.000 0.000 0.500
3 Sb 0.500 0.000 0.000
4 As 0.000 0.000 0.000
5 S 0.500 0.500 0.500

- Distance to the lowest polymorph of the same formula: 0.214 eV per atom
- Uncorrected formation energy: 88.5 kJ/mol of atoms

Crystalline CoHg2Pb at its relaxed geometry, computed with PBE.

a = 4.190 Å, b = 4.190 Å, c = 4.962 Å
α = 90.00°, β = 90.00°, γ = 90.00°
Positions (direct):
1 Co 0.000 0.500 0.500
2 Hg 0.000 0.000 0.000
3 Hg 0.500 0.500 0.000
4 Pb 0.500 0.000 0.500

- Energy of formation from the pure elements: 0.51 eV per atom

Crystalline PrSm2MnN4 at its relaxed geometry, computed with PBE.

a = 3.484 Å, b = 6.145 Å, c = 11.941 Å
α = 90.00°, β = 90.00°, γ = 106.47°
Positions (direct):
1 Pr 0.104 0.207 0.750
2 Pr 0.896 0.793 0.250
3 Sm 0.369 0.738 0.545
4 Sm 0.631 0.262 0.045
5 Sm 0.631 0.262 0.455
6 Sm 0.369 0.738 0.955
7 Mn 0.835 0.669 0.750
8 Mn 0.165 0.331 0.250
9 N 0.270 0.540 0.132
10 N 0.730 0.460 0.632
11 N 0.730 0.460 0.868
12 N 0.270 0.540 0.368
13 N 0.000 0.000 0.500
14 N 0.000 0.000 0.000
15 N 0.422 0.843 0.750
16 N 0.578 0.157 0.250

- Uncorrected formation energy: -101.4 kJ/mol of atoms

Crystalline LaYMn2 at its relaxed geometry, computed with PBE.

a = 4.759 Å, b = 3.582 Å, c = 5.980 Å
α = 72.64°, β = 90.00°, γ = 90.00°
Positions (direct):
1 La 0.500 0.775 0.824
2 Mn 0.000 0.186 0.003
3 Mn 0.500 0.061 0.255
4 Y 0.000 0.478 0.419

- Distance to the lowest polymorph of the same formula: 0.134 eV per atom
- Energy of formation from the pure elements: 0.24 eV per atom